The following is a DFT calculation (SCAN) of a crystal of RhSeO3 relaxed with PBEsol.

Values from the calculation:
The space group is No. 221. The calculation puts the energy relative to the elements, uncorrected at -0.013 eV/atom.

a b c (Å): 3.8415 3.8415 3.8415
angles (deg): 90.00 90.00 90.00
Last column: nearest neighbours and their distance in Å.
Element x y z (fractional)
Rh1 0.0000 0.0000 0.0000  6 O 1.92
O1 0.0000 0.5000 0.0000  2 Rh 1.92
O2 0.0000 0.0000 0.5000  2 Rh 1.92
O3 0.5000 0.0000 0.0000  2 Rh 1.92
Se1 0.5000 0.5000 0.5000  12 O 2.72